Run one
Ca3TiBr | PBE-GGA | relaxed

Cell: 5.599 5.599 5.599 Å, 90.00 90.00 90.00°
Space group Pm-3m (No. 221)
Symmetry-distinct sites (fractional):
Ca 0.000 0.000 0.500 [3 per cell]
Ti 0.500 0.500 0.500 [1 per cell]
Br 0.000 0.000 0.000 [1 per cell]

**Magnetic moment**: 3.48 Bohr magnetons per cell


Run two
Ca3TiBr | PBE-GGA | relaxed

Cell: 5.963 5.963 5.963 Å, 90.00 90.00 90.00°
Space group Pm-3m (No. 221)
Symmetry-distinct sites (fractional):
Ca 0.000 0.000 0.500 [3 per cell]
Ti 0.000 0.000 0.000 [1 per cell]
Br 0.500 0.500 0.500 [1 per cell]

**Magnetic moment**: 4.96 Bohr magnetons per cell


If we sort the structures by their calculated energies, the order from most to least stable is run one, run two.


Run one
CaTl2Br | PBE-GGA | relaxed

Cell: 10.601 3.766 6.396 Å, 90.00 101.00 90.00°
Space group Cm (No. 8)
Symmetry-distinct sites (fractional):
Ca 0.000 0.000 0.000 [2 per cell]
Tl 0.014 0.500 0.468 [2 per cell]
Tl 0.259 0.000 0.651 [2 per cell]
Br 0.219 0.500 0.095 [2 per cell]

**Magnetic moment**: 0.00 Bohr magnetons per cell


Run two
CaTl2Br | PBE-GGA | relaxed

Cell: 3.9328 3.9328 29.6984 Å, 90.00 90.00 120.00°
Space group R-3m (No. 166, hexagonal axes)
Symmetry-distinct sites (fractional):
Ca 0.0000 0.0000 0.0000 [3 per cell]
Tl 0.0000 0.0000 0.2442 [6 per cell]
Br 0.0000 0.0000 0.5000 [3 per cell]

**Magnetic moment**: 0.00 Bohr magnetons per cell


If we sort the structures by their calculated energies, the order from most to least stable is run one, run two.


Run one
CaTl2Br | PBE-GGA | relaxed

Cell: 4.653 4.653 6.136 Å, 90.00 90.00 90.00°
Space group P4/mmm (No. 123)
Symmetry-distinct sites (fractional):
Ca 0.000 0.000 0.000 [1 per cell]
Tl 0.500 0.500 0.248 [2 per cell]
Br 0.000 0.000 0.500 [1 per cell]

**Magnetic moment**: 0.00 Bohr magnetons per cell


Run two
CaTl2Br | PBE-GGA | relaxed

Cell: 4.145 6.394 9.932 Å, 90.00 90.00 90.00°
Space group Cmmm (No. 65)
Symmetry-distinct sites (fractional):
Ca 0.000 0.000 0.000 [2 per cell]
Tl 0.000 0.500 0.266 [4 per cell]
Br 0.000 0.000 0.500 [2 per cell]

**Magnetic moment**: 0.00 Bohr magnetons per cell


If we sort the structures by their calculated energies, the order from most to least stable is run one, run two.